A relaxed structure of NpCu5Se6, computed with PBE-GGA. Values from VASP.

Summary:
The calculation puts the total energy at -4.806 eV per atom. The space group is No. 12.

Cell and atoms, written as Quantum ESPRESSO input:
```
&SYSTEM
  ibrav = 0, nat = 12, ntyp = 3
/
ATOMIC_SPECIES
Np 237.00 Np.upf
Cu 63.55 Cu.upf
Se 78.96 Se.upf
CELL_PARAMETERS angstrom
6.495 0.147 0.000
1.968 6.277 0.000
0.984 3.139 5.521
ATOMIC_POSITIONS angstrom
Np 0.000 0.000 0.000
Cu 4.231 3.212 3.968
Cu 0.984 3.139 1.941
Cu 4.231 3.212 0.000
Cu 1.968 6.277 3.581
Cu 5.215 6.351 1.554
Se 5.214 1.629 1.938
Se 3.248 4.794 1.938
Se 2.114 1.855 0.000
Se 6.348 4.569 0.000
Se 6.198 4.768 3.584
Se 4.232 7.933 3.584
```